TbCr2F8: relaxed, PBE with a Hubbard U.

abc: 6.1301 6.1301 4.3807
angles: 92.29 92.29 72.41
Sites, in units of the cell vectors:
Tb: 0.0000 0.0000 0.0000
Cr: 0.3813 0.3813 0.7390
Cr: 0.6187 0.6187 0.2610
F: 0.1232 0.6653 0.7517
F: 0.1838 0.1838 0.7384
F: 0.3347 0.8768 0.2483
F: 0.4125 0.4125 0.2443
F: 0.5875 0.5875 0.7557
F: 0.6653 0.1232 0.7517
F: 0.8162 0.8162 0.2616
F: 0.8768 0.3347 0.2483

Output
The density comes out at 4.396 g/cm3. The calculation puts the total energy at -6.27 eV/atom. For the total magnetization, the calculation gives 7.00 μB per cell.